DFT (PBE) results for a relaxed TbTi2Co2 crystal.

Output
calculated total energy = -72.3 eV for the cell shown
total magnetic moment = 0.000 μB/f.u.
calculated formation energy = -29 kJ/mol of atoms
DOS at the Fermi energy = 8.8 states/eV/cell

```
data_TbTi2Co2
_symmetry_space_group_name_H-M 'I 4/m m m'
_symmetry_Int_Tables_number 139
_symmetry_space_group_name_Hall '-I 4 2'
_cell_length_a 4.139
_cell_length_b 4.139
_cell_length_c 9.926
_cell_angle_alpha 90.00
_cell_angle_beta 90.00
_cell_angle_gamma 90.00
loop_
_atom_site_label
_atom_site_type_symbol
_atom_site_fract_x
_atom_site_fract_y
_atom_site_fract_z
Tb1 Tb 0.000 0.000 0.000
Ti1 Ti 0.000 0.500 0.250
Co1 Co 0.000 0.000 0.384
```

DFT (PBE) results for a relaxed TbTiCo2 crystal.

Output
calculated total energy = -108.6 eV for the cell shown
total magnetic moment = 1.166 μB/f.u.
calculated formation energy = -10 kJ/mol of atoms
E above lowest polymorph = 116 meV/atom
DOS at the Fermi energy = 13.2 states/eV/cell

```
data_TbTiCo2
_symmetry_space_group_name_H-M 'F m -3 m'
_symmetry_Int_Tables_number 225
_symmetry_space_group_name_Hall '-F 4 2 3'
_cell_length_a 6.355
_cell_length_b 6.355
_cell_length_c 6.355
_cell_angle_alpha 90.00
_cell_angle_beta 90.00
_cell_angle_gamma 90.00
loop_
_atom_site_label
_atom_site_type_symbol
_atom_site_fract_x
_atom_site_fract_y
_atom_site_fract_z
Tb1 Tb 0.000 0.000 0.000
Ti1 Ti 0.000 0.000 0.500
Co1 Co 0.250 0.250 0.250
```

DFT (PBE) results for a relaxed Tb2TiCo2 crystal.

Output
calculated total energy = -130.1 eV for the cell shown
total magnetic moment = 0.000 μB/f.u.
calculated formation energy = -22 kJ/mol of atoms
DOS at the Fermi energy = 19.8 states/eV/cell

```
data_Tb2TiCo2
_symmetry_space_group_name_H-M 'C 1 2/c 1'
_symmetry_Int_Tables_number 15
_cell_length_a 9.688
_cell_length_b 5.718
_cell_length_c 7.103
_cell_angle_alpha 90.00
_cell_angle_beta 101.05
_cell_angle_gamma 90.00
loop_
_symmetry_equiv_pos_as_xyz
'x,y,z'
'-x,-y,-z'
'-x,y,-z+1/2'
'x,-y,z+1/2'
'x+1/2,y+1/2,z'
'-x+1/2,-y+1/2,-z'
'-x+1/2,y+1/2,-z+1/2'
'x+1/2,-y+1/2,z+1/2'
loop_
_atom_site_label
_atom_site_type_symbol
_atom_site_fract_x
_atom_site_fract_y
_atom_site_fract_z
Tb1 Tb 0.149 0.119 0.146
Ti1 Ti 0.000 0.412 0.750
Co1 Co 0.139 0.355 0.501
```

DFT (PBE) results for a relaxed Tb2Ti2Co15 crystal.

Output
calculated total energy = -404.6 eV for the cell shown
total magnetic moment = 17.975 μB/f.u.
calculated formation energy = -16 kJ/mol of atoms
DOS at the Fermi energy = 64.0 states/eV/cell

```
data_Tb2Ti2Co15
_symmetry_space_group_name_H-M 'R -3 m'
_symmetry_Int_Tables_number 166
_symmetry_space_group_name_Hall '-R 3 2"'
_cell_length_a 8.3601
_cell_length_b 8.3601
_cell_length_c 12.3064
_cell_angle_alpha 90.00
_cell_angle_beta 90.00
_cell_angle_gamma 120.00
loop_
_atom_site_label
_atom_site_type_symbol
_atom_site_fract_x
_atom_site_fract_y
_atom_site_fract_z
Tb1 Tb 0.0000 0.0000 0.1463
Ti1 Ti 0.0000 0.0000 0.3938
Co1 Co 0.0000 0.2918 0.5000
Co2 Co 0.0000 0.5000 0.0000
Co3 Co 0.0008 0.5004 0.3478
```

DFT (PBE) results for a relaxed TbTlCo4 crystal.

Output
calculated total energy = -141.8 eV for the cell shown
total magnetic moment = 4.553 μB/f.u.
calculated formation energy = 0 kJ/mol of atoms
DOS at the Fermi energy = 35.6 states/eV/cell

```
data_TbTlCo4
_symmetry_space_group_name_H-M 'F -4 3 m'
_symmetry_Int_Tables_number 216
_symmetry_space_group_name_Hall 'F -4 2 3'
_cell_length_a 7.110
_cell_length_b 7.110
_cell_length_c 7.110
_cell_angle_alpha 90.00
_cell_angle_beta 90.00
_cell_angle_gamma 90.00
loop_
_atom_site_label
_atom_site_type_symbol
_atom_site_fract_x
_atom_site_fract_y
_atom_site_fract_z
Tb1 Tb 0.000 0.000 0.000
Tl1 Tl 0.250 0.250 0.250
Co1 Co 0.125 0.125 0.625
```

DFT (PBE) results for a relaxed Tb6TlCo2 crystal.

Output
calculated total energy = -185.6 eV for the cell shown
total magnetic moment = 0.000 μB/f.u.
calculated formation energy = -22 kJ/mol of atoms
DOS at the Fermi energy = 29.6 states/eV/cell

```
data_Tb6TlCo2
_symmetry_space_group_name_H-M 'I m m m'
_symmetry_Int_Tables_number 71
_symmetry_space_group_name_Hall '-I 2 2'
_cell_length_a 9.473
_cell_length_b 9.711
_cell_length_c 10.032
_cell_angle_alpha 90.00
_cell_angle_beta 90.00
_cell_angle_gamma 90.00
loop_
_atom_site_label
_atom_site_type_symbol
_atom_site_fract_x
_atom_site_fract_y
_atom_site_fract_z
Tb1 Tb 0.000 0.212 0.229
Tb2 Tb 0.196 0.500 0.185
Tb3 Tb 0.211 0.313 0.500
Tl1 Tl 0.000 0.000 0.000
Tl2 Tl 0.000 0.000 0.500
Co1 Co 0.000 0.379 0.000
Co2 Co 0.000 0.500 0.389
```

DFT (PBE) results for a relaxed Tb3TlCo2 crystal.

Output
calculated total energy = -63.3 eV for the cell shown
total magnetic moment = 0.984 μB/f.u.
calculated formation energy = -19 kJ/mol of atoms
DOS at the Fermi energy = 12.9 states/eV/cell

```
data_Tb3TlCo2
_symmetry_space_group_name_H-M 'P m c 21'
_symmetry_Int_Tables_number 26
_cell_length_a 3.844
_cell_length_b 10.191
_cell_length_c 7.361
_cell_angle_alpha 90.00
_cell_angle_beta 90.00
_cell_angle_gamma 90.00
loop_
_symmetry_equiv_pos_as_xyz
'x,y,z'
'-x,-y,z+1/2'
'-x,y,z'
'x,-y,z+1/2'
loop_
_atom_site_label
_atom_site_type_symbol
_atom_site_fract_x
_atom_site_fract_y
_atom_site_fract_z
Tb1 Tb 0.000 0.045 0.000
Tb2 Tb 0.500 0.267 0.393
Tb3 Tb 0.500 0.331 0.885
Tl1 Tl 0.000 0.493 0.629
Co1 Co 0.000 0.207 0.663
Co2 Co 0.500 0.091 0.709
```

DFT (PBE) results for a relaxed Tb12Tl6Co crystal.

Output
calculated total energy = -239.3 eV for the cell shown
total magnetic moment = 0.000 μB/f.u.
calculated formation energy = -15 kJ/mol of atoms
DOS at the Fermi energy = 57.7 states/eV/cell

```
data_Tb12Tl6Co
_symmetry_space_group_name_H-M 'R -3'
_symmetry_Int_Tables_number 148
_symmetry_space_group_name_Hall '-R 3'
_cell_length_a 12.1997
_cell_length_b 12.1997
_cell_length_c 13.3135
_cell_angle_alpha 90.00
_cell_angle_beta 90.00
_cell_angle_gamma 120.00
loop_
_atom_site_label
_atom_site_type_symbol
_atom_site_fract_x
_atom_site_fract_y
_atom_site_fract_z
Tb1 Tb 0.0329 0.1855 0.3894
Tb2 Tb 0.0377 0.8520 0.8793
Tl1 Tl 0.0077 0.3960 0.2585
Co1 Co 0.0000 0.0000 0.0000
```

DFT (PBE) results for a relaxed Tb5TlCo crystal.

Output
calculated total energy = -132.3 eV for the cell shown
total magnetic moment = 0.000 μB/f.u.
calculated formation energy = -6 kJ/mol of atoms
DOS at the Fermi energy = 29.5 states/eV/cell

```
data_Tb5TlCo
_symmetry_space_group_name_H-M 'C 1 2/c 1'
_symmetry_Int_Tables_number 15
_cell_length_a 10.957
_cell_length_b 6.832
_cell_length_c 11.329
_cell_angle_alpha 90.00
_cell_angle_beta 110.61
_cell_angle_gamma 90.00
loop_
_symmetry_equiv_pos_as_xyz
'x,y,z'
'-x,-y,-z'
'-x,y,-z+1/2'
'x,-y,z+1/2'
'x+1/2,y+1/2,z'
'-x+1/2,-y+1/2,-z'
'-x+1/2,y+1/2,-z+1/2'
'x+1/2,-y+1/2,z+1/2'
loop_
_atom_site_label
_atom_site_type_symbol
_atom_site_fract_x
_atom_site_fract_y
_atom_site_fract_z
Tb1 Tb 0.000 0.011 0.250
Tb2 Tb 0.120 0.320 0.046
Tb3 Tb 0.217 0.184 0.636
Tl1 Tl 0.000 0.471 0.750
Co1 Co 0.000 0.000 0.000
```

DFT (PBE) results for a relaxed Tb3Tl2Co crystal.

Output
calculated total energy = -108.5 eV for the cell shown
total magnetic moment = 0.000 μB/f.u.
calculated formation energy = -22 kJ/mol of atoms
DOS at the Fermi energy = 18.7 states/eV/cell

```
data_Tb3Tl2Co
_symmetry_space_group_name_H-M 'I m m a'
_symmetry_Int_Tables_number 74
_symmetry_space_group_name_Hall '-I 2b 2'
_cell_length_a 7.278
_cell_length_b 16.639
_cell_length_c 5.179
_cell_angle_alpha 90.00
_cell_angle_beta 90.00
_cell_angle_gamma 90.00
loop_
_atom_site_label
_atom_site_type_symbol
_atom_site_fract_x
_atom_site_fract_y
_atom_site_fract_z
Tb1 Tb 0.000 0.250 0.249
Tb2 Tb 0.250 0.126 0.750
Tl1 Tl 0.000 0.056 0.250
Co1 Co 0.000 0.250 0.749
```

DFT (PBE) results for a relaxed Tb8TlCo2 crystal.

Output
calculated total energy = -109.3 eV for the cell shown
total magnetic moment = 0.001 μB/f.u.
calculated formation energy = -9 kJ/mol of atoms
DOS at the Fermi energy = 26.5 states/eV/cell

```
data_Tb8TlCo2
_symmetry_space_group_name_H-M 'C 1 2/m 1'
_symmetry_Int_Tables_number 12
_cell_length_a 8.626
_cell_length_b 13.277
_cell_length_c 5.337
_cell_angle_alpha 90.00
_cell_angle_beta 103.30
_cell_angle_gamma 90.00
loop_
_symmetry_equiv_pos_as_xyz
'x,y,z'
'-x,-y,-z'
'-x,y,-z'
'x,-y,z'
'x+1/2,y+1/2,z'
'-x+1/2,-y+1/2,-z'
'-x+1/2,y+1/2,-z'
'x+1/2,-y+1/2,z'
loop_
_atom_site_label
_atom_site_type_symbol
_atom_site_fract_x
_atom_site_fract_y
_atom_site_fract_z
Tb1 Tb 0.000 0.250 0.000
Tb2 Tb 0.110 0.000 0.801
Tb3 Tb 0.201 0.369 0.570
Tl1 Tl 0.000 0.500 0.000
Co1 Co 0.000 0.195 0.500
```

DFT (PBE) results for a relaxed Tb3TlCo crystal.

Output
calculated total energy = -97.6 eV for the cell shown
total magnetic moment = 0.000 μB/f.u.
calculated formation energy = -20 kJ/mol of atoms
E above lowest polymorph = 0 meV/atom
DOS at the Fermi energy = 17.4 states/eV/cell

```
data_Tb3TlCo
_symmetry_space_group_name_H-M 'C 1 2/m 1'
_symmetry_Int_Tables_number 12
_cell_length_a 11.955
_cell_length_b 5.392
_cell_length_c 9.007
_cell_angle_alpha 90.00
_cell_angle_beta 112.92
_cell_angle_gamma 90.00
loop_
_symmetry_equiv_pos_as_xyz
'x,y,z'
'-x,-y,-z'
'-x,y,-z'
'x,-y,z'
'x+1/2,y+1/2,z'
'-x+1/2,-y+1/2,-z'
'-x+1/2,y+1/2,-z'
'x+1/2,-y+1/2,z'
loop_
_atom_site_label
_atom_site_type_symbol
_atom_site_fract_x
_atom_site_fract_y
_atom_site_fract_z
Tb1 Tb 0.105 0.000 0.214
Tb2 Tb 0.121 0.500 0.912
Tb3 Tb 0.156 0.000 0.660
Tl1 Tl 0.111 0.500 0.448
Co1 Co 0.137 0.000 0.940
```